1 | CsVHg3 | PBE | relaxed

As for the density of states at the Fermi level: 1.546 states/eV per atom. The volume is 62.3 Å³ per atom. The value obtained for the total magnetization is 4.068 μB/f.u.

abc: 6.779 6.779 6.779
angles: 90.00 90.00 90.00
Space group Pm-3m (No. 221)
Asymmetric unit:
Cs  0.000  0.000  0.000 [1 per cell]
V  0.500  0.500  0.500 [1 per cell]
Hg  0.000  0.000  0.500 [3 per cell]



2 | CsVHg3 | PBE | relaxed

As for the density of states at the Fermi level: 0.687 states/eV per atom. The volume is 34.3 Å³ per atom. The value obtained for the total magnetization is 4.159 μB/f.u.

abc: 5.557 5.557 5.557
angles: 90.00 90.00 90.00
Space group Pm-3m (No. 221)
Asymmetric unit:
Cs  0.000  0.000  0.000 [1 per cell]
V  0.500  0.500  0.500 [1 per cell]
Hg  0.000  0.500  0.500 [3 per cell]



Which of them is the least stable? Correct choice: 1.



1 | CsHg2W | PBE | relaxed

As for the density of states at the Fermi level: 0.690 states/eV per atom. The volume is 45.0 Å³ per atom. The value obtained for the total magnetization is 0.000 μB/f.u.

abc: 6.643 6.643 16.332
angles: 90.00 90.00 90.00
Space group I-42d (No. 122)
Asymmetric unit:
Cs  0.000  0.000  0.000 [4 per cell]
Hg  0.002  0.750  0.625 [8 per cell]
W  0.000  0.000  0.500 [4 per cell]



2 | CsHg2W | PBE | relaxed

As for the density of states at the Fermi level: 0.811 states/eV per atom. The volume is 31.5 Å³ per atom. The value obtained for the total magnetization is 4.510 μB/f.u.

abc: 7.957 7.957 7.957
angles: 90.00 90.00 90.00
Space group Fm-3m (No. 225)
Asymmetric unit:
Cs  0.000  0.000  0.000 [4 per cell]
Hg  0.250  0.250  0.250 [8 per cell]
W  0.000  0.000  0.500 [4 per cell]



Which of them is the least stable? Correct choice: 2.



1 | CsY3Hg | PBE | relaxed

As for the density of states at the Fermi level: 1.372 states/eV per atom. The volume is 35.6 Å³ per atom. The value obtained for the total magnetization is 0.000 μB/f.u.

abc: 5.624 5.624 5.624
angles: 90.00 90.00 90.00
Space group Pm-3m (No. 221)
Asymmetric unit:
Cs  0.000  0.000  0.000 [1 per cell]
Y  0.000  0.000  0.500 [3 per cell]
Hg  0.500  0.500  0.500 [1 per cell]



2 | CsY3Hg | PBE | relaxed

As for the density of states at the Fermi level: 1.653 states/eV per atom. The volume is 40.5 Å³ per atom. The value obtained for the total magnetization is 0.002 μB/f.u.

abc: 5.874 5.874 5.874
angles: 90.00 90.00 90.00
Space group Pm-3m (No. 221)
Asymmetric unit:
Cs  0.000  0.000  0.000 [1 per cell]
Y  0.000  0.500  0.500 [3 per cell]
Hg  0.500  0.500  0.500 [1 per cell]



Which of them is the least stable? Correct choice: 1.



1 | CsZrHg | PBE | relaxed

As for the density of states at the Fermi level: 0.845 states/eV per atom. The volume is 39.4 Å³ per atom. The value obtained for the total magnetization is 0.020 μB/f.u.

abc: 3.587 4.702 14.005
angles: 90.00 90.29 90.00
Space group Pm (No. 6)
Asymmetric unit:
Cs  0.000  0.000  0.000 [1 per cell]
Cs  0.487  0.500  0.343 [1 per cell]
Zr  0.493  0.500  0.595 [1 per cell]
Zr  0.996  0.500  0.767 [1 per cell]
Hg  0.496  0.000  0.752 [1 per cell]
Hg  0.992  0.000  0.535 [1 per cell]



2 | CsZrHg | PBE | relaxed

As for the density of states at the Fermi level: 1.082 states/eV per atom. The volume is 34.8 Å³ per atom. The value obtained for the total magnetization is 0.000 μB/f.u.

abc: 3.675 3.676 15.487
angles: 91.42 93.76 90.01
Space group P-1 (No. 2)
Asymmetric unit:
Cs  0.157  0.215  0.158 [2 per cell]
Zr  0.234  0.244  0.440 [2 per cell]
Hg  0.294  0.266  0.662 [2 per cell]



Which of them is the least stable? Correct choice: 1.



1 | CsZr3Hg | PBE | relaxed

As for the density of states at the Fermi level: 2.093 states/eV per atom. The volume is 29.1 Å³ per atom. The value obtained for the total magnetization is 1.387 μB/f.u.

abc: 5.257 5.257 5.257
angles: 90.00 90.00 90.00
Space group Pm-3m (No. 221)
Asymmetric unit:
Cs  0.000  0.000  0.000 [1 per cell]
Zr  0.000  0.000  0.500 [3 per cell]
Hg  0.500  0.500  0.500 [1 per cell]



2 | CsZr3Hg | PBE | relaxed

As for the density of states at the Fermi level: 1.365 states/eV per atom. The volume is 33.1 Å³ per atom. The value obtained for the total magnetization is 0.000 μB/f.u.

abc: 5.491 5.491 5.491
angles: 90.00 90.00 90.00
Space group Pm-3m (No. 221)
Asymmetric unit:
Cs  0.000  0.000  0.000 [1 per cell]
Zr  0.000  0.500  0.500 [3 per cell]
Hg  0.500  0.500  0.500 [1 per cell]



Which of them is the least stable? Correct choice: 1.



1 | Cs2HoI5 | PBE | relaxed

As for the density of states at the Fermi level: 0.000 states/eV per atom. The volume is 50.7 Å³ per atom. The value obtained for the total magnetization is 0.000 μB/f.u.

abc: 10.974 8.497 17.397
angles: 90.00 90.00 90.00
Space group Pnma (No. 62)
Asymmetric unit:
Cs  0.043  0.250  0.199 [4 per cell]
Cs  0.179  0.750  0.414 [4 per cell]
Ho  0.188  0.750  0.061 [4 per cell]
I  0.000  0.000  0.000 [4 per cell]
I  0.036  0.750  0.204 [4 per cell]
I  0.151  0.506  0.612 [8 per cell]
I  0.216  0.250  0.397 [4 per cell]



2 | Cs2HoI5 | PBE | relaxed

As for the density of states at the Fermi level: 0.000 states/eV per atom. The volume is 56.5 Å³ per atom. The value obtained for the total magnetization is 0.000 μB/f.u.

abc: 9.098 9.098 10.915
angles: 90.00 90.00 90.00
Space group I4mm (No. 107)
Asymmetric unit:
Cs  0.000  0.500  0.000 [4 per cell]
Ho  0.000  0.000  0.209 [2 per cell]
I  0.000  0.000  0.950 [2 per cell]
I  0.228  0.228  0.259 [8 per cell]



Which of them is the least stable? Correct choice: 2.



1 | Cs5HoO4 | PBE | relaxed

As for the density of states at the Fermi level: 0.000 states/eV per atom. The volume is 29.8 Å³ per atom. The value obtained for the total magnetization is 0.011 μB/f.u.

abc: 8.514 9.985 7.017
angles: 90.00 90.00 90.00
Space group Pmmn (No. 59, origin choice 2)
Asymmetric unit:
Cs  0.011  0.063  0.244 [8 per cell]
Cs  0.250  0.750  0.326 [2 per cell]
Ho  0.250  0.250  0.718 [2 per cell]
O  0.034  0.250  0.882 [4 per cell]
O  0.250  0.067  0.549 [4 per cell]



2 | Cs5HoO4 | PBE | relaxed

The volume is 28.9 Å³ per atom. The value obtained for the total magnetization is 0.083 μB/f.u.

abc: 19.394 3.783 8.033
angles: 90.00 101.73 90.00
Space group C2/m (No. 12)
Asymmetric unit:
Cs  0.000  0.000  0.000 [2 per cell]
Cs  0.148  0.500  0.804 [4 per cell]
Cs  0.149  0.500  0.340 [4 per cell]
Ho  0.000  0.000  0.500 [2 per cell]
O  0.001  0.500  0.693 [4 per cell]
O  0.120  0.000  0.558 [4 per cell]



Which of them is the least stable? Correct choice: 2.



1 | Cs3HoO3 | PBE | relaxed

As for the density of states at the Fermi level: 0.000 states/eV per atom. The volume is 28.0 Å³ per atom. The value obtained for the total magnetization is 0.124 μB/f.u.

abc: 7.934 12.987 7.745
angles: 90.00 101.05 90.00
Space group C2/m (No. 12)
Asymmetric unit:
Cs  0.000  0.216  0.000 [4 per cell]
Cs  0.000  0.263  0.500 [4 per cell]
Cs  0.145  0.500  0.851 [4 per cell]
Ho  0.170  0.000  0.653 [4 per cell]
O  0.108  0.000  0.366 [4 per cell]
O  0.204  0.365  0.233 [8 per cell]



2 | Cs3HoO3 | PBE | relaxed

As for the density of states at the Fermi level: 0.000 states/eV per atom. The volume is 27.7 Å³ per atom. The value obtained for the total magnetization is 0.084 μB/f.u.

abc: 8.209 7.683 12.361
angles: 90.00 95.39 90.00
Space group P2_1/c (No. 14)
Asymmetric unit:
Cs  0.061  0.124  0.157 [4 per cell]
Cs  0.347  0.155  0.922 [4 per cell]
Cs  0.383  0.678  0.810 [4 per cell]
Ho  0.154  0.590  0.070 [4 per cell]
O  0.111  0.054  0.417 [4 per cell]
O  0.241  0.653  0.551 [4 per cell]
O  0.292  0.043  0.697 [4 per cell]



Which of them is the least stable? Correct choice: 1.



1 | CsHoPb2 | PBE | relaxed

As for the density of states at the Fermi level: 0.630 states/eV per atom. The volume is 36.1 Å³ per atom. The value obtained for the total magnetization is 0.000 μB/f.u.

abc: 3.8280 3.8280 34.0951
angles: 90.00 90.00 120.00
Space group R-3m (No. 166, hexagonal axes)
Asymmetric unit:
Cs  0.0000  0.0000  0.0000 [3 per cell]
Ho  0.0000  0.0000  0.5000 [3 per cell]
Pb  0.0000  0.0000  0.2392 [6 per cell]



2 | CsHoPb2 | PBE | relaxed

As for the density of states at the Fermi level: 0.436 states/eV per atom. The volume is 37.2 Å³ per atom. The value obtained for the total magnetization is 0.000 μB/f.u.

abc: 4.143 4.143 8.666
angles: 90.00 90.00 90.00
Space group P4/mmm (No. 123)
Asymmetric unit:
Cs  0.000  0.000  0.000 [1 per cell]
Ho  0.000  0.000  0.500 [1 per cell]
Pb  0.500  0.500  0.320 [2 per cell]



Which of them is the least stable? Correct choice: 1.



1 | CsHoS2 | PBE | relaxed

As for the density of states at the Fermi level: 0.000 states/eV per atom. The volume is 29.2 Å³ per atom. The value obtained for the total magnetization is 0.000 μB/f.u.

abc: 4.0891 4.0891 24.1717
angles: 90.00 90.00 120.00
Space group R-3m (No. 166, hexagonal axes)
Asymmetric unit:
Cs  0.0000  0.0000  0.0000 [3 per cell]
Ho  0.0000  0.0000  0.5000 [3 per cell]
S  0.0000  0.0000  0.2269 [6 per cell]



2 | CsHoS2 | PBE | relaxed

As for the density of states at the Fermi level: 0.000 states/eV per atom. The volume is 29.2 Å³ per atom. The value obtained for the total magnetization is 0.000 μB/f.u.

abc: 4.0762 4.0762 24.3916
angles: 90.00 90.00 120.00
Space group R3m (No. 160, hexagonal axes)
Asymmetric unit:
Cs  0.0000  0.0000  0.0000 [3 per cell]
Ho  0.0000  0.0000  0.8312 [3 per cell]
S  0.0000  0.0000  0.2246 [3 per cell]
S  0.0000  0.0000  0.4376 [3 per cell]



Which of them is the least stable? Correct choice: 2.



1 | CsHo2S3 | PBE | relaxed

As for the density of states at the Fermi level: 0.475 states/eV per atom. The volume is 28.2 Å³ per atom. The value obtained for the total magnetization is 0.000 μB/f.u.

abc: 8.448 3.920 10.429
angles: 90.00 101.52 90.00
Space group P2_1/m (No. 11)
Asymmetric unit:
Cs  0.026  0.250  0.327 [2 per cell]
Ho  0.325  0.250  0.015 [2 per cell]
Ho  0.484  0.250  0.669 [2 per cell]
S  0.220  0.750  0.150 [2 per cell]
S  0.324  0.750  0.513 [2 per cell]
S  0.381  0.750  0.838 [2 per cell]



2 | CsHo2S3 | PBE | relaxed

As for the density of states at the Fermi level: 0.387 states/eV per atom. The volume is 26.8 Å³ per atom. The value obtained for the total magnetization is 0.000 μB/f.u.

abc: 7.1514 7.1514 3.6357
angles: 90.00 90.00 120.00
Space group P6/mmm (No. 191)
Asymmetric unit:
Cs  0.0000  0.0000  0.0000 [1 per cell]
Ho  0.3333  0.6667  0.5000 [2 per cell]
S  0.0000  0.5000  0.0000 [3 per cell]



Which of them is the least stable? Correct choice: 1.